Record 1
{
  "formula": "Cs3Ac3USe8",
  "functional": "PBE",
  "state": "relaxed",
  "lattice_angstrom": [[7.8581, -4.5377, 0.0000], [7.8581, 4.5377, 0.0000], [-5.2445, 0.0000, 8.5418]],
  "species": ["Cs", "Cs", "Cs", "Ac", "Ac", "Ac", "U", "Se", "Se", "Se", "Se", "Se", "Se", "Se", "Se"],
  "fractional_positions": [[0.0000, 0.0000, 0.0000], [0.0000, 0.5000, 0.0000], [0.5000, 0.0000, 0.0000], [0.0000, 0.5000, 0.5000], [0.5000, 0.0000, 0.5000], [0.5000, 0.5000, 0.5000], [0.0000, 0.0000, 0.5000], [0.2154, 0.2154, 0.6828], [0.2154, 0.7522, 0.6828], [0.2478, 0.7846, 0.3172], [0.2675, 0.2675, 0.3027], [0.7325, 0.7325, 0.6973], [0.7522, 0.2154, 0.6828], [0.7846, 0.2478, 0.3172], [0.7846, 0.7846, 0.3172]],
  "energy_ev_per_atom": -5.28,
  "sg": "No. 12",
  "dos_at_fermi_per_ev_fu": 6.09,
  "raw_formation_energy_mev_per_atom": -1673
}



Record 2
{
  "formula": "Cs3AcY2Se6",
  "functional": "PBE",
  "state": "relaxed",
  "lattice_angstrom": [[3.8061, -6.5909, 0.0000], [3.8061, 6.5909, 0.0000], [-2.5428, 0.0000, 8.4027]],
  "species": ["Cs", "Cs", "Cs", "Ac", "Y", "Y", "Se", "Se", "Se", "Se", "Se", "Se"],
  "fractional_positions": [[0.0000, 0.0000, 0.0000], [0.3364, 0.6636, 0.0000], [0.6636, 0.3364, 0.0000], [0.5000, 0.5000, 0.5000], [0.1669, 0.8331, 0.5000], [0.8331, 0.1669, 0.5000], [0.0849, 0.4368, 0.3107], [0.2110, 0.2110, 0.6880], [0.4368, 0.0849, 0.3107], [0.5632, 0.9151, 0.6893], [0.7890, 0.7890, 0.3120], [0.9151, 0.5632, 0.6893]],
  "energy_ev_per_atom": -5.13,
  "sg": "No. 12",
  "dos_at_fermi_per_ev_fu": 0.00,
  "raw_formation_energy_mev_per_atom": -1750
}



Record 3
{
  "formula": "Cs2AcYSe4",
  "functional": "PBE",
  "state": "relaxed",
  "lattice_angstrom": [[7.7246, 0.0000, 0.0000], [0.0000, 4.4574, 0.0000], [-2.5589, 0.0000, 8.4133]],
  "species": ["Cs", "Cs", "Ac", "Y", "Se", "Se", "Se", "Se"],
  "fractional_positions": [[0.0000, 0.0000, 0.0000], [0.5000, 0.5000, 0.0000], [0.0000, 0.5000, 0.5000], [0.5000, 0.0000, 0.5000], [0.2488, 0.0000, 0.6937], [0.2865, 0.5000, 0.3126], [0.7135, 0.5000, 0.6874], [0.7512, 0.0000, 0.3063]],
  "energy_ev_per_atom": -5.03,
  "sg": "No. 10",
  "dos_at_fermi_per_ev_fu": 0.00,
  "raw_formation_energy_mev_per_atom": -1754
}



Record 4
{
  "formula": "Cs3Ac2YSe6",
  "functional": "PBE",
  "state": "relaxed",
  "lattice_angstrom": [[3.9135, -6.7769, 0.0000], [3.9135, 6.7769, 0.0000], [-2.6125, 0.0000, 8.4205]],
  "species": ["Cs", "Cs", "Cs", "Ac", "Ac", "Y", "Se", "Se", "Se", "Se", "Se", "Se"],
  "fractional_positions": [[0.0000, 0.0000, 0.0000], [0.3314, 0.6686, 0.0000], [0.6686, 0.3314, 0.0000], [0.1665, 0.8335, 0.5000], [0.8335, 0.1665, 0.5000], [0.5000, 0.5000, 0.5000], [0.1207, 0.4359, 0.3080], [0.2493, 0.2493, 0.6929], [0.4359, 0.1207, 0.3080], [0.5641, 0.8793, 0.6920], [0.7507, 0.7507, 0.3071], [0.8793, 0.5641, 0.6920]],
  "energy_ev_per_atom": -4.95,
  "sg": "No. 12",
  "dos_at_fermi_per_ev_fu": 0.00,
  "raw_formation_energy_mev_per_atom": -1773
}



Record 5
{
  "formula": "Cs4Ac3YSe8",
  "functional": "PBE",
  "state": "relaxed",
  "lattice_angstrom": [[4.5501, 2.6270, 8.4270], [-4.5501, 2.6270, 8.4270], [0.0000, -5.2540, 8.4270]],
  "species": ["Cs", "Cs", "Cs", "Cs", "Ac", "Ac", "Ac", "Y", "Se", "Se", "Se", "Se", "Se", "Se", "Se", "Se"],
  "fractional_positions": [[0.0000, 0.0000, 0.0000], [0.0000, 0.5000, 0.5000], [0.5000, 0.0000, 0.5000], [0.5000, 0.5000, 0.0000], [0.0000, 0.0000, 0.5000], [0.0000, 0.5000, 0.0000], [0.5000, 0.0000, 0.0000], [0.5000, 0.5000, 0.5000], [0.2331, 0.2331, 0.2331], [0.2470, 0.7221, 0.7221], [0.2779, 0.2779, 0.7530], [0.2779, 0.7530, 0.2779], [0.7221, 0.2470, 0.7221], [0.7221, 0.7221, 0.2470], [0.7530, 0.2779, 0.2779], [0.7669, 0.7669, 0.7669]],
  "energy_ev_per_atom": -4.91,
  "sg": "No. 166",
  "dos_at_fermi_per_ev_fu": 0.00,
  "raw_formation_energy_mev_per_atom": -1777
}



Record 6
{
  "formula": "Cs3Ac3YSe8",
  "functional": "PBE",
  "state": "relaxed",
  "lattice_angstrom": [[7.8657, -4.5398, 0.0000], [7.8657, 4.5398, 0.0000], [-5.2527, 0.0000, 8.5233]],
  "species": ["Cs", "Cs", "Cs", "Ac", "Ac", "Ac", "Y", "Se", "Se", "Se", "Se", "Se", "Se", "Se", "Se"],
  "fractional_positions": [[0.0000, 0.0000, 0.0000], [0.0000, 0.5000, 0.0000], [0.5000, 0.0000, 0.0000], [0.0000, 0.5000, 0.5000], [0.5000, 0.0000, 0.5000], [0.5000, 0.5000, 0.5000], [0.0000, 0.0000, 0.5000], [0.2181, 0.2181, 0.6845], [0.2181, 0.7488, 0.6845], [0.2512, 0.7819, 0.3155], [0.2673, 0.2673, 0.3024], [0.7327, 0.7327, 0.6976], [0.7488, 0.2181, 0.6845], [0.7819, 0.2512, 0.3155], [0.7819, 0.7819, 0.3155]],
  "energy_ev_per_atom": -4.98,
  "sg": "No. 12",
  "dos_at_fermi_per_ev_fu": 18.90,
  "raw_formation_energy_mev_per_atom": -1701
}



Record 7
{
  "formula": "CsAcZnSe3",
  "functional": "PBE",
  "state": "relaxed",
  "lattice_angstrom": [[10.1180, 0.0000, 0.0000], [0.0000, 4.4553, 0.0000], [-3.0294, 0.0000, 9.9480]],
  "species": ["Cs", "Cs", "Ac", "Ac", "Zn", "Zn", "Se", "Se", "Se", "Se", "Se", "Se"],
  "fractional_positions": [[0.1973, 0.2500, 0.2331], [0.8027, 0.7500, 0.7669], [0.3335, 0.7500, 0.8465], [0.6665, 0.2500, 0.1535], [0.0786, 0.2500, 0.6085], [0.9214, 0.7500, 0.3915], [0.1180, 0.2500, 0.8508], [0.1714, 0.7500, 0.5293], [0.4559, 0.7500, 0.1551], [0.5441, 0.2500, 0.8449], [0.8286, 0.2500, 0.4707], [0.8820, 0.7500, 0.1492]],
  "energy_ev_per_atom": -4.20,
  "sg": "No. 11",
  "dos_at_fermi_per_ev_fu": 0.00,
  "raw_formation_energy_mev_per_atom": -1421
}



Record 8
{
  "formula": "Cs3Ac3ZrSe8",
  "functional": "PBE",
  "state": "relaxed",
  "lattice_angstrom": [[8.9258, 0.0000, 0.0000], [4.4621, 7.7426, 0.0000], [4.4612, 2.5784, 8.5795]],
  "species": ["Cs", "Cs", "Cs", "Ac", "Ac", "Ac", "Zr", "Se", "Se", "Se", "Se", "Se", "Se", "Se", "Se"],
  "fractional_positions": [[0.0000, 0.0000, 0.0000], [0.0000, 0.5000, 0.0000], [0.5000, 0.0000, 0.0000], [0.0000, 0.5000, 0.5000], [0.5000, 0.0000, 0.5000], [0.5000, 0.5000, 0.5000], [0.0000, 0.0000, 0.5000], [0.2085, 0.2095, 0.3195], [0.2082, 0.7624, 0.3193], [0.2384, 0.7909, 0.6809], [0.2673, 0.2669, 0.6992], [0.7327, 0.7331, 0.3008], [0.7617, 0.2091, 0.3191], [0.7918, 0.2376, 0.6807], [0.7915, 0.7905, 0.6805]],
  "energy_ev_per_atom": -5.12,
  "sg": "No. 2",
  "dos_at_fermi_per_ev_fu": 0.00,
  "raw_formation_energy_mev_per_atom": -1702
}



Record 9
{
  "formula": "Cs3Ac2ZrSe6",
  "functional": "PBE",
  "state": "relaxed",
  "lattice_angstrom": [[3.8404, -6.6497, 0.0000], [3.8404, 6.6497, 0.0000], [-2.5749, 0.0000, 8.4115]],
  "species": ["Cs", "Cs", "Cs", "Ac", "Ac", "Zr", "Se", "Se", "Se", "Se", "Se", "Se"],
  "fractional_positions": [[0.0000, 0.0000, 0.0000], [0.3290, 0.6710, 0.0000], [0.6710, 0.3290, 0.0000], [0.1662, 0.8338, 0.5000], [0.8338, 0.1662, 0.5000], [0.5000, 0.5000, 0.5000], [0.1338, 0.4366, 0.3102], [0.2619, 0.2619, 0.6920], [0.4366, 0.1338, 0.3102], [0.5634, 0.8662, 0.6898], [0.7381, 0.7381, 0.3080], [0.8662, 0.5634, 0.6898]],
  "energy_ev_per_atom": -4.93,
  "sg": "No. 12",
  "dos_at_fermi_per_ev_fu": 5.66,
  "raw_formation_energy_mev_per_atom": -1581
}



Record 10
{
  "formula": "CsAcSi",
  "functional": "PBE",
  "state": "relaxed",
  "lattice_angstrom": [[1.9686, -14.4443, 0.0000], [1.9686, 14.4443, 0.0000], [0.0000, 0.0000, 5.1249]],
  "species": ["Cs", "Cs", "Ac", "Ac", "Si", "Si"],
  "fractional_positions": [[0.1656, 0.8344, 0.7500], [0.8344, 0.1656, 0.2500], [0.0441, 0.9559, 0.2500], [0.9559, 0.0441, 0.7500], [0.4433, 0.5567, 0.2500], [0.5567, 0.4433, 0.7500]],
  "energy_ev_per_atom": -3.54,
  "sg": "No. 63",
  "dos_at_fermi_per_ev_fu": 2.61,
  "raw_formation_energy_mev_per_atom": -78
}